# ScZn2Si

A crystal of ScZn2Si relaxed with PBEsol (SCAN, the Alexandria database).

Results
Uncorrected formation energy: -412.4 meV per atom

abc: 3.870 3.870 4.086
angles: 90.00 90.00 90.00
Sites, in units of the cell vectors:
Zn1 0.000 0.500 0.000
Zn2 0.500 0.000 0.000
Si1 0.000 0.000 0.500
Sc1 0.500 0.500 0.500